Here is ThPdRh after structural relaxation from Alexandria via LeMat-Bulk. Energies are from PBE.

density of states at the Fermi level: 0.739 states/eV per atom
ΔE to the lowest computed polymorph: 70.2 meV per atom
DFT formation energy: -699 meV/atom
VASP energy: -7.35 eV/atom

Cell: 3.9105 7.3446 8.9340 Å, 90.00 90.00 90.00°
Space group Immm (No. 71)
Symmetry-distinct sites (fractional):
Th (0.0000, 0.2387, 0.0000)
Pd (0.0000, 0.0000, 0.3489)
Rh (0.0000, 0.5000, 0.3482)